## A
Pm6Dy12Er (PBE-GGA, optimized geometry); symmetry = No. 166
1.0
5.554 3.206 5.836
-5.554 3.206 5.836
0.000 -6.413 5.836
Pm Dy Er
6 12 1
Direct
0.268 0.268 0.662 Pm
0.268 0.662 0.268 Pm
0.338 0.732 0.732 Pm
0.662 0.268 0.268 Pm
0.732 0.338 0.732 Pm
0.732 0.732 0.338 Pm
0.013 0.364 0.364 Dy
0.014 0.014 0.696 Dy
0.014 0.696 0.014 Dy
0.304 0.986 0.986 Dy
0.364 0.013 0.364 Dy
0.364 0.364 0.013 Dy
0.636 0.636 0.987 Dy
0.636 0.987 0.636 Dy
0.696 0.014 0.014 Dy
0.986 0.304 0.986 Dy
0.986 0.986 0.304 Dy
0.987 0.636 0.636 Dy
0.500 0.500 0.500 Er


## B
Pm6Dy12Er (PBE-GGA, optimized geometry); symmetry = No. 166
1.0
7.554 4.362 3.403
-7.554 4.362 3.403
0.000 -8.723 3.403
Pm Dy Er
6 12 1
Direct
0.293 0.676 0.676 Pm
0.324 0.324 0.707 Pm
0.324 0.707 0.324 Pm
0.676 0.293 0.676 Pm
0.676 0.676 0.293 Pm
0.707 0.324 0.324 Pm
0.082 0.317 0.317 Dy
0.111 0.500 0.889 Dy
0.111 0.889 0.500 Dy
0.317 0.082 0.317 Dy
0.317 0.317 0.082 Dy
0.500 0.111 0.889 Dy
0.500 0.889 0.111 Dy
0.683 0.683 0.918 Dy
0.683 0.918 0.683 Dy
0.889 0.111 0.500 Dy
0.889 0.500 0.111 Dy
0.918 0.683 0.683 Dy
0.000 0.000 0.000 Er


Compare the structures above. Which one is the least stable? B is.